## w
VASP calculation (PBE) on TiMo2Pt after structural relaxation.

Properties
- N(E_F): 0.808 states/eV/atom
- Crystal system: tetragonal
- Space-group type: I-42d

a = 7.3017 Å, b = 7.3017 Å, c = 5.7733 Å
α = 50.77°, β = 50.77°, γ = 90.00°
Atoms (fractional coordinates):
Mo (0.8750, 0.8864, 0.7500)
Mo (0.3750, 0.3636, 0.7500)
Mo (0.6364, 0.1250, 0.2500)
Mo (0.1136, 0.6250, 0.2500)
Pt (0.0000, 0.0000, 0.0000)
Pt (0.7500, 0.2500, 0.5000)
Ti (0.2500, 0.7500, 0.5000)
Ti (0.5000, 0.5000, 0.0000)

=====

## x
VASP calculation (PBE) on TiMo2Pt after structural relaxation.

Properties
- N(E_F): 1.320 states/eV/atom
- Crystal system: cubic
- Space-group type: Fm-3m

a = 4.4736 Å, b = 4.4736 Å, c = 4.4736 Å
α = 60.00°, β = 60.00°, γ = 60.00°
Atoms (fractional coordinates):
Mo (0.2500, 0.2500, 0.2500)
Mo (0.7500, 0.7500, 0.7500)
Ti (0.0000, 0.0000, 0.0000)
Pt (0.5000, 0.5000, 0.5000)

=====

On energetic grounds, x is preferred over the next structure by 295 meV/atom.

=====

## w
VASP calculation (PBE) on Tl2MoPt after structural relaxation.

Properties
- N(E_F): 0.558 states/eV/atom
- Crystal system: orthorhombic
- Space-group type: Cmmm

a = 5.1802 Å, b = 5.1802 Å, c = 3.0028 Å
α = 90.00°, β = 90.00°, γ = 105.15°
Atoms (fractional coordinates):
Tl (0.0000, 0.0000, 0.0000)
Tl (0.5000, 0.5000, 0.0000)
Mo (0.5000, 0.0000, 0.5000)
Pt (0.0000, 0.5000, 0.5000)

=====

## x
VASP calculation (PBE) on Tl2MoPt after structural relaxation.

Properties
- N(E_F): 0.837 states/eV/atom
- Crystal system: orthorhombic
- Space-group type: Pmmm

a = 3.4511 Å, b = 5.1193 Å, c = 4.5385 Å
α = 90.00°, β = 90.00°, γ = 90.00°
Site moments in Bohr magnetons follow the coordinates.
Atoms (fractional coordinates):
Tl (0.5000, 0.5000, 0.0000)  0.00
Tl (0.0000, 0.0000, 0.0000)  -0.01
Pt (0.0000, 0.5000, 0.5000)  0.03
Mo (0.5000, 0.0000, 0.5000)  0.89

=====

## y
VASP calculation (PBE) on Tl2MoPt after structural relaxation.

Properties
- N(E_F): 0.444 states/eV/atom
- Crystal system: trigonal
- Space-group type: R3m

a = 9.9544 Å, b = 9.9544 Å, c = 9.9544 Å
α = 18.04°, β = 18.04°, γ = 18.04°
Atoms (fractional coordinates):
Tl (0.2427, 0.2427, 0.2427)
Tl (0.0073, 0.0073, 0.0073)
Mo (0.4921, 0.4921, 0.4921)
Pt (0.7580, 0.7580, 0.7580)

=====

On energetic grounds, y is preferred over the next structure by 132 meV/atom.